1.
! ScOsCl2 PBE-GGA relaxed; values from VASP
&SYSTEM
  ibrav = 0, nat = 4, ntyp = 3
/
ATOMIC_SPECIES
Sc 44.96 Sc.upf
Os 190.23 Os.upf
Cl 35.45 Cl.upf
CELL_PARAMETERS angstrom
-1.794 2.037 6.444
1.794 -2.037 6.444
1.794 2.037 -6.444
ATOMIC_POSITIONS crystal
Sc 0.000 0.000 0.000
Os 0.500 0.500 0.000
Cl 0.361 0.861 0.500
Cl 0.639 0.139 0.500
! Total DFT energy (no corrections)   -5.603 eV per atom
! Relative energy among the computed polymorphs   257 meV/atom


2.
! PuTl2Cu2O6 PBE-GGA relaxed; values from VASP
&SYSTEM
  ibrav = 0, nat = 11, ntyp = 4
/
ATOMIC_SPECIES
Pu 244.00 Pu.upf
Tl 204.38 Tl.upf
Cu 63.55 Cu.upf
O 16.00 O.upf
CELL_PARAMETERS angstrom
3.028 1.748 5.679
-3.028 1.748 5.679
0.000 -3.497 5.679
ATOMIC_POSITIONS crystal
Pu 0.000 0.000 0.000
Tl 0.216 0.216 0.216
Tl 0.784 0.784 0.784
Cu 0.406 0.406 0.406
Cu 0.594 0.594 0.594
O 0.229 0.229 0.762
O 0.229 0.762 0.229
O 0.238 0.771 0.771
O 0.762 0.229 0.229
O 0.771 0.238 0.771
O 0.771 0.771 0.238
! Total DFT energy (no corrections)   -6.471 eV per atom


Computed values of formation energy from raw total energies (unit: meV per atom) for the preceding records, in sequence: -289.1 -1288.5.